Here is a geometry-optimized Sc3CdN structure from the Alexandria database. Energies are from PBEsol.

Properties
E_form (uncorrected): 1.383 eV per atom
Size of the total moment: 0.000 μB per formula unit
Space-group type: Pm-3m, No. 221

Cell lengths 5.1058, 5.1058, 5.1058 Å; angles 90.00, 90.00, 90.00 degrees
With the nearest neighbours (Å) after each atom.
Sites, in units of the cell vectors:
Sc  0.0000  0.0000  0.5000  2 Cd 2.55
Sc  0.0000  0.5000  0.0000  2 Cd 2.55
Sc  0.5000  0.0000  0.0000  2 Cd 2.55
Cd  0.0000  0.0000  0.0000  6 Sc 2.55
N  0.5000  0.5000  0.5000  12 Sc 3.61